Ga2CuAu, relaxed, DFT PBE-GGA; ΔE_f = 0.010 eV/atom; SG = No. 166; crystal system = trigonal
1.0
4.023 0.000 0.000
2.011 3.484 0.000
2.011 1.161 5.006
Au Cu Ga
1 1 2
Cartesian
0.000 0.000 0.000
4.023 2.323 2.503
2.011 1.161 1.407
6.034 3.484 3.598